Material: ZrAg2Sb
Method: DFT, PBE
State: optimized geometry

Properties
density = 8.36 Mg/m³
formation energy without anion corrections = -0.06 eV per atom
total magnetic moment = 0.0 μB/cell

Cell: 3.236 3.236 8.165 Å, 90.00 90.00 95.04°
Positions (direct):
Zr 0.000 0.000 0.000
Ag 0.000 0.000 0.457
Ag 0.500 0.500 0.239
Sb 0.500 0.500 0.737